No. 1
Zn2Rh13: relaxed, PBE-GGA.

Output
symmetry: No. 2
DFT total energy: -6.611 eV per atom

a = 4.6985 Å, b = 6.0447 Å, c = 8.1663 Å
α = 72.65°, β = 73.50°, γ = 82.81°
With the nearest neighbours (Å) after each atom.
Element x y z (fractional)
Zn 0.0635 0.3993 0.2334  12 Rh 2.70-2.74
Zn 0.9365 0.6007 0.7666  12 Rh 2.70-2.74
Rh 0.0000 0.0000 0.5000  10 Rh 2.71-2.75, 2 Zn 2.71
Rh 0.1359 0.8006 0.9656  10 Rh 2.69-2.74, 2 Zn 2.70-2.72
Rh 0.1979 0.2007 0.6998  11 Rh 2.69-2.74, 1 Zn 2.70
Rh 0.2700 0.5946 0.4327  10 Rh 2.68-2.75, 2 Zn 2.70-2.74
Rh 0.3346 0.0019 0.1674  11 Rh 2.68-2.74, 1 Zn 2.70
Rh 0.4048 0.3979 0.8995  9 Rh 2.69-2.74, 3 Zn 2.71-2.74
Rh 0.4670 0.8005 0.6344  10 Rh 2.68-2.74, 2 Zn 2.70-2.72
Rh 0.5330 0.1995 0.3656  10 Rh 2.68-2.74, 2 Zn 2.70-2.72
Rh 0.5952 0.6021 0.1005  9 Rh 2.69-2.74, 3 Zn 2.71-2.74
Rh 0.6654 0.9981 0.8326  11 Rh 2.68-2.74, 1 Zn 2.70
Rh 0.7300 0.4054 0.5673  10 Rh 2.68-2.75, 2 Zn 2.70-2.74
Rh 0.8021 0.7993 0.3002  11 Rh 2.69-2.74, 1 Zn 2.70
Rh 0.8641 0.1994 0.0344  10 Rh 2.69-2.74, 2 Zn 2.70-2.72

No. 2
Zn8Rh3: relaxed, PBE-GGA.

Output
symmetry: No. 12
DFT total energy: -3.245 eV per atom

a = 4.7693 Å, b = 4.7693 Å, c = 9.6650 Å
α = 101.27°, β = 101.27°, γ = 46.05°
With the nearest neighbours (Å) after each atom.
Element x y z (fractional)
Zn 0.0425 0.0425 0.3226  4 Rh 2.61, 8 Zn 2.69-2.84
Zn 0.1350 0.1350 0.9599  7 Zn 2.65-2.84, 5 Rh 2.69-2.84
Zn 0.2285 0.2285 0.5907  8 Zn 2.64-2.75, 4 Rh 2.70-2.74
Zn 0.3131 0.3131 0.2264  8 Zn 2.65-2.76, 4 Rh 2.68-2.80
Zn 0.6869 0.6869 0.7736  8 Zn 2.65-2.76, 4 Rh 2.68-2.80
Zn 0.7715 0.7715 0.4093  8 Zn 2.64-2.75, 4 Rh 2.70-2.74
Zn 0.8650 0.8650 0.0401  7 Zn 2.65-2.84, 5 Rh 2.69-2.84
Zn 0.9575 0.9575 0.6774  4 Rh 2.61, 8 Zn 2.69-2.84
Rh 0.4122 0.4122 0.8525  11 Zn 2.61-2.84
Rh 0.5000 0.5000 0.5000  12 Zn 2.61-2.80
Rh 0.5878 0.5878 0.1475  11 Zn 2.61-2.84

No. 3
ZnRh2: relaxed, PBE-GGA.

Output
symmetry: No. 141
DFT total energy: -5.457 eV per atom

a = 11.9772 Å, b = 11.9772 Å, c = 11.9772 Å
α = 161.68°, β = 161.68°, γ = 26.03°
With the nearest neighbours (Å) after each atom.
Element x y z (fractional)
Zn 0.2935 0.5435 0.7500  10 Rh 2.67-2.74, 2 Zn 2.79
Zn 0.4565 0.7065 0.7500  10 Rh 2.67-2.74, 2 Zn 2.79
Zn 0.5435 0.2935 0.2500  10 Rh 2.67-2.74, 2 Zn 2.79
Zn 0.7065 0.4565 0.2500  10 Rh 2.67-2.74, 2 Zn 2.79
Rh 0.0408 0.7908 0.2500  6 Rh 2.69-2.76, 6 Zn 2.70-2.74
Rh 0.1261 0.3761 0.7500  4 Zn 2.67-2.71, 8 Rh 2.70-2.76
Rh 0.2092 0.9592 0.2500  6 Rh 2.69-2.76, 6 Zn 2.70-2.74
Rh 0.3761 0.1261 0.2500  4 Zn 2.67-2.71, 8 Rh 2.70-2.76
Rh 0.6239 0.8739 0.7500  4 Zn 2.67-2.71, 8 Rh 2.70-2.76
Rh 0.7908 0.0408 0.7500  6 Rh 2.69-2.76, 6 Zn 2.70-2.74
Rh 0.8739 0.6239 0.2500  4 Zn 2.67-2.71, 8 Rh 2.70-2.76
Rh 0.9592 0.2092 0.7500  6 Rh 2.69-2.76, 6 Zn 2.70-2.74

No. 4
Zn4Rh3: relaxed, PBE-GGA.

Output
symmetry: No. 148
ΔE to the lowest computed polymorph: 0.000 eV per atom

a = 6.7787 Å, b = 6.7787 Å, c = 6.7787 Å
α = 113.65°, β = 113.65°, γ = 113.65°
With the nearest neighbours (Å) after each atom.
Element x y z (fractional)
Zn 0.0000 0.0000 0.0000  8 Zn 2.61-2.73, 6 Rh 2.92
Zn 0.0718 0.7745 0.6276  7 Rh 2.59-2.65, 2 Zn 2.73-2.89
Zn 0.2255 0.3724 0.9282  7 Rh 2.59-2.65, 2 Zn 2.73-2.89
Zn 0.3724 0.9282 0.2255  7 Rh 2.59-2.65, 2 Zn 2.73-2.89
Zn 0.5000 0.5000 0.5000  6 Rh 2.58, 2 Zn 2.61
Zn 0.6276 0.0718 0.7745  7 Rh 2.59-2.65, 2 Zn 2.73-2.89
Zn 0.7745 0.6276 0.0718  7 Rh 2.59-2.65, 2 Zn 2.73-2.89
Zn 0.9282 0.2255 0.3724  7 Rh 2.59-2.65, 2 Zn 2.73-2.89
Rh 0.1361 0.5508 0.2716  8 Zn 2.58-2.65
Rh 0.2716 0.1361 0.5508  8 Zn 2.58-2.65
Rh 0.4492 0.7284 0.8639  8 Zn 2.58-2.65
Rh 0.5508 0.2716 0.1361  8 Zn 2.58-2.65
Rh 0.7284 0.8639 0.4492  8 Zn 2.58-2.65
Rh 0.8639 0.4492 0.7284  8 Zn 2.58-2.65

Number 2 is which compound?
Zn8Rh3